## Sc2Ga2Ni (PBE-GGA)

Data for Sc2Ga2Ni after structural relaxation.

Unit cell a=7.0133 b=7.0133 c=7.0133 alpha=149.78 beta=149.78 gamma=43.27
Fractional coordinates of all 5 atoms:
1 Sc 0.4070 0.4070 0.0000
2 Sc 0.5930 0.5930 0.0000
3 Ni 0.0000 0.0000 0.0000
4 Ga 0.2500 0.7500 0.5000
5 Ga 0.7500 0.2500 0.5000

Summary:
The calculated total energy comes out at -4.736 eV/atom. The crystal system is tetragonal.